First-principles (GGA-PBE) data for a geometry-optimized ScIn2Ir2 structure, as listed in the Alexandria database.

Output
For the raw total energy, the calculation gives -6.09 eV/atom. The density of states at the Fermi level comes out at 0.445 states/eV per atom. As for the offset from the most stable computed form: 80 kJ/mol of formula units.

a = 3.988 Å, b = 3.988 Å, c = 6.958 Å
α = 73.35°, β = 73.35°, γ = 90.00°
Positions (direct):
Sc  0.000  0.000  0.000
Ir  0.402  0.402  0.196
Ir  0.598  0.598  0.804
In  0.750  0.250  0.500
In  0.250  0.750  0.500